# AcMg2In

AcMg2In after structural relaxation (PBE, Alexandria via LeMat-Bulk).

Lattice parameters (Å, degrees): 4.9007 9.6055 10.4019 90.00 90.00 104.78
Closest atoms and distances in Å follow each position.
Atoms (fractional coordinates):
1 Mg 0.3048 0.6097 0.4009  3 In 2.93-3.11, 1 Mg 3.14
2 Mg 0.3048 0.6097 0.0991  3 In 2.93-3.11, 1 Mg 3.14
3 Ac 0.5000 0.0000 0.5000  4 In 3.62, 6 Mg 3.70-3.77
4 Ac 0.6970 0.3941 0.2500  9 Mg 3.53-3.66, 4 In 3.54
5 Ac 0.5000 0.0000 0.0000  4 In 3.62, 6 Mg 3.70-3.77
6 Mg 0.6952 0.3903 0.5991  3 In 2.93-3.11, 1 Mg 3.14
7 In 0.8570 0.7140 0.9761  5 Mg 2.91-3.11
8 Mg 0.8932 0.7863 0.2500  2 In 2.93, 1 Mg 2.93
9 In 0.8570 0.7140 0.5239  5 Mg 2.91-3.11
10 In 0.1430 0.2860 0.4761  5 Mg 2.91-3.11
11 Mg 0.1068 0.2137 0.7500  2 In 2.93, 1 Mg 2.93
12 Mg 0.0510 0.1019 0.2500  2 In 2.91, 1 Mg 2.93
13 Mg 0.6952 0.3903 0.9009  3 In 2.93-3.11, 1 Mg 3.14
14 In 0.1430 0.2860 0.0239  5 Mg 2.91-3.11
15 Ac 0.3030 0.6059 0.7500  9 Mg 3.53-3.66, 4 In 3.54
16 Mg 0.9490 0.8981 0.7500  2 In 2.91, 1 Mg 2.93

## Properties
space group: Cmcm
formation energy from the elements: -250 meV/atom
M_tot: 0.000 μB per formula unit
distance to the lowest polymorph of the same formula: 10 kJ/mol of formula units